Entry 1:
{"formula": "YTa4Zn", "functional": "PBEsol", "state": "optimized geometry", "space_group": "No. 216", "dos_at_fermi_per_ev_cell": 5.98, "ef_ev_per_atom": 0.396, "cell": [[5.526, 0.000, 0.000], [2.763, 4.786, 0.000], [2.763, 1.595, 4.512]], "species": ["Ta", "Ta", "Ta", "Ta", "Y", "Zn"], "fractional_positions": [[0.377, 0.377, 0.377], [0.377, 0.377, 0.869], [0.869, 0.377, 0.377], [0.377, 0.869, 0.377], [0.750, 0.750, 0.750], [0.000, 0.000, 0.000]]}

---

Entry 2:
{"formula": "YTa3Zn", "functional": "PBEsol", "state": "optimized geometry", "space_group": "No. 221", "dos_at_fermi_per_ev_cell": 7.53, "ef_ev_per_atom": 1.138, "cell": [[4.765, 0.000, 0.000], [0.000, 4.765, 0.000], [0.000, 0.000, 4.765]], "species": ["Y", "Zn", "Ta", "Ta", "Ta"], "fractional_positions": [[0.500, 0.500, 0.500], [0.000, 0.000, 0.000], [0.000, 0.500, 0.000], [0.000, 0.000, 0.500], [0.500, 0.000, 0.000]]}

---

Entry 3:
{"formula": "Y2TaZn", "functional": "PBEsol", "state": "optimized geometry", "space_group": "No. 8", "dos_at_fermi_per_ev_cell": 2.49, "ef_ev_per_atom": 0.086, "cell": [[3.217, 0.000, 0.000], [0.000, 5.297, -0.009], [-1.609, -2.019, 5.233]], "species": ["Ta", "Y", "Y", "Zn"], "fractional_positions": [[0.786, 0.228, 0.572], [0.019, 0.053, 0.039], [0.220, 0.685, 0.440], [0.474, 0.533, 0.949]]}

---

Entry 4:
{"formula": "Y2TaZn", "functional": "PBEsol", "state": "optimized geometry", "space_group": "No. 123", "dos_at_fermi_per_ev_cell": 5.75, "ef_ev_per_atom": 0.205, "cell": [[3.179, 0.000, 0.000], [0.000, 5.287, 0.000], [0.000, 0.000, 5.287]], "species": ["Ta", "Y", "Y", "Zn"], "fractional_positions": [[0.500, 0.000, 0.000], [0.000, 0.000, 0.500], [0.000, 0.500, 0.000], [0.500, 0.500, 0.500]]}

---

Entry 5:
{"formula": "Y2TaZn", "functional": "PBEsol", "state": "optimized geometry", "space_group": "No. 38", "dos_at_fermi_per_ev_cell": 3.19, "ef_ev_per_atom": 0.139, "cell": [[3.242, 0.000, 0.000], [0.000, 4.752, 0.000], [-1.621, 0.000, 5.858]], "species": ["Ta", "Y", "Y", "Zn"], "fractional_positions": [[0.684, 0.500, 0.369], [0.091, 0.000, 0.181], [0.406, 0.500, 0.812], [0.812, 0.000, 0.624]]}

---

Entry 6:
{"formula": "YZrTa2", "functional": "PBEsol", "state": "optimized geometry", "e_above_lowest_polymorph_mev_per_atom": 83.1, "space_group": "No. 71", "dos_at_fermi_per_ev_cell": 6.23, "ef_ev_per_atom": 0.388, "cell": [[3.394, 0.000, 0.000], [0.000, 4.826, 0.000], [-1.697, -2.413, 5.004]], "species": ["Ta", "Ta", "Y", "Zr"], "fractional_positions": [[0.744, 0.744, 0.487], [0.256, 0.256, 0.513], [0.500, 0.000, 0.000], [0.000, 0.500, 0.000]]}

---

Entry 7:
{"formula": "YZr2Ta", "functional": "PBEsol", "state": "optimized geometry", "e_above_lowest_polymorph_mev_per_atom": 67.7, "space_group": "No. 139", "dos_at_fermi_per_ev_cell": 6.65, "ef_ev_per_atom": 0.266, "cell": [[-2.537, -3.258, -2.528], [3.356, -3.355, 0.956], [-2.252, 2.344, 3.874]], "species": ["Ta", "Y", "Zr", "Zr"], "fractional_positions": [[0.500, 0.500, 0.000], [0.000, 0.000, 0.000], [0.750, 0.250, 0.500], [0.250, 0.750, 0.500]]}

---

Entry 8:
{"formula": "YZrTa2", "functional": "PBEsol", "state": "optimized geometry", "e_above_lowest_polymorph_mev_per_atom": 54.0, "space_group": "No. 25", "dos_at_fermi_per_ev_cell": 5.22, "ef_ev_per_atom": 0.359, "cell": [[-0.484, -0.868, -2.774], [-4.261, -1.370, 1.172], [-2.179, 5.603, -1.373]], "species": ["Ta", "Ta", "Y", "Zr"], "fractional_positions": [[0.000, 0.000, 0.012], [0.500, 0.500, 0.222], [0.000, 0.000, 0.495], [0.500, 0.500, 0.771]]}

---

Entry 9:
{"formula": "YZr2Ta", "functional": "PBEsol", "state": "optimized geometry", "e_above_lowest_polymorph_mev_per_atom": 23.0, "space_group": "No. 38", "dos_at_fermi_per_ev_cell": 4.46, "ef_ev_per_atom": 0.222, "cell": [[3.098, 0.000, -0.008], [0.000, 4.969, 0.000], [-1.532, 0.000, 5.841]], "species": ["Ta", "Y", "Zr", "Zr"], "fractional_positions": [[0.812, 0.000, 0.497], [0.427, 0.500, 0.730], [0.075, 0.000, 0.026], [0.686, 0.500, 0.247]]}

---

Entry 10:
{"formula": "YZr2Ta", "functional": "PBEsol", "state": "optimized geometry", "e_above_lowest_polymorph_mev_per_atom": 26.8, "space_group": "No. 10", "dos_at_fermi_per_ev_cell": 5.85, "ef_ev_per_atom": 0.225, "cell": [[-2.114, 0.151, 2.215], [2.117, -3.646, 2.269], [4.450, 3.858, 2.047]], "species": ["Ta", "Y", "Zr", "Zr"], "fractional_positions": [[0.500, 0.500, 0.000], [0.000, 0.500, 0.500], [0.704, 0.000, 0.781], [0.296, 0.000, 0.219]]}

---

Entry 11:
{"formula": "YZr2Ta", "functional": "PBEsol", "state": "optimized geometry", "e_above_lowest_polymorph_mev_per_atom": 0.0, "space_group": "No. 99", "dos_at_fermi_per_ev_cell": 4.68, "ef_ev_per_atom": 0.199, "cell": [[3.643, 0.000, 0.000], [0.000, 3.643, 0.000], [0.000, 0.000, 6.942]], "species": ["Ta", "Y", "Zr", "Zr"], "fractional_positions": [[0.000, 0.000, 0.453], [0.500, 0.500, 0.733], [0.000, 0.000, 0.042], [0.500, 0.500, 0.272]]}

---

Entry 12:
{"formula": "YZrTa2", "functional": "PBEsol", "state": "optimized geometry", "e_above_lowest_polymorph_mev_per_atom": 150.2, "space_group": "No. 123", "dos_at_fermi_per_ev_cell": 5.23, "ef_ev_per_atom": 0.455, "cell": [[2.984, 0.000, 0.000], [0.000, 5.276, 0.000], [0.000, 0.000, 5.276]], "species": ["Ta", "Ta", "Y", "Zr"], "fractional_positions": [[0.000, 0.000, 0.500], [0.000, 0.500, 0.000], [0.500, 0.500, 0.500], [0.500, 0.000, 0.000]]}